LiHfCo2P, relaxed, DFT PBE-GGA; ΔH_f (0 K) = 0.885 eV/atom; spin magnetization = 0.500 μB per atom
1.0
4.681 0.000 0.000
0.000 4.958 0.000
0.000 0.000 4.681
Co P Li Hf
2 1 1 1
Cartesian
2.341 0.000 0.000
0.000 0.000 2.341
0.000 2.479 0.000
2.341 2.479 2.341
0.000 0.000 0.000

LiHfCoPb, relaxed, DFT PBE-GGA; ΔH_f (0 K) = -0.185 eV/atom; spin magnetization = 0.000 μB per atom
1.0
4.499 0.000 0.000
2.249 3.896 0.000
2.249 1.299 3.673
Hf Co Pb Li
1 1 1 1
Cartesian
6.748 3.896 2.755
4.499 2.597 1.837
2.249 1.299 0.918
0.000 0.000 0.000

LiHfCoPd, relaxed, DFT PBE-GGA; ΔH_f (0 K) = -0.324 eV/atom; spin magnetization = 0.000 μB per atom
1.0
-2.772 -2.642 -2.120
0.637 -0.895 -4.237
1.291 -4.000 -1.222
Co Pd Li Hf
1 1 1 1
Cartesian
-0.422 -3.769 -3.790
0.000 0.000 0.000
-0.633 -5.653 -5.685
-0.211 -1.884 -1.895

LiHfCoRh, relaxed, DFT PBE-GGA; ΔH_f (0 K) = -0.388 eV/atom; spin magnetization = 0.000 μB per atom
1.0
4.323 0.000 0.000
2.161 3.743 0.000
2.161 1.248 3.529
Hf Rh Li Co
1 1 1 1
Cartesian
4.323 2.496 1.765
2.161 1.248 0.882
0.000 0.000 0.000
6.484 3.743 2.647

Li4Hf3CoS8, relaxed, DFT PBE-GGA; E_form (uncorrected) = -1.3374 eV/atom; spin magnetization = 0.141 μB per atom
1.0
7.178 0.000 0.000
0.000 7.420 0.161
-3.589 -3.584 5.080
S Hf Li Co
8 3 4 1
Cartesian
3.589 3.757 2.650
1.773 1.915 0.067
5.406 1.915 0.067
-1.816 1.921 5.174
1.816 1.921 5.174
0.000 3.735 2.604
3.589 0.101 2.637
0.000 0.079 2.591
3.589 3.710 0.081
-1.795 1.918 2.621
1.795 1.918 2.621
1.795 -1.792 2.540
-1.795 -1.792 2.540
3.589 0.000 0.000
0.000 0.000 0.000
0.000 3.710 0.081

LiHfScCo, relaxed, DFT PBE-GGA; ΔH_f (0 K) = -0.125 eV/atom; spin magnetization = 0.000 μB per atom
1.0
4.523 0.000 0.000
2.262 3.917 0.000
2.262 1.306 3.693
Sc Hf Co Li
1 1 1 1
Cartesian
2.262 1.306 0.923
6.785 3.917 2.770
4.523 2.611 1.847
0.000 0.000 0.000

LiHfCoSn, relaxed, DFT PBE-GGA; ΔH_f (0 K) = -0.450 eV/atom; spin magnetization = 0.000 μB per atom
1.0
4.431 0.000 0.000
2.216 3.838 0.000
2.216 1.279 3.618
Li Sn Co Hf
1 1 1 1
Cartesian
4.431 2.558 1.809
2.216 1.279 0.905
0.000 0.000 0.000
6.647 3.838 2.714

LiTbHfCo, relaxed, DFT PBE-GGA; ΔH_f (0 K) = 0.006 eV/atom; spin magnetization = 0.000 μB per atom
1.0
4.693 0.000 0.000
2.347 4.064 0.000
2.347 1.355 3.832
Co Li Hf Tb
1 1 1 1
Cartesian
2.347 1.355 0.958
7.040 4.064 2.874
0.000 0.000 0.000
4.693 2.710 1.916

LiHfTiCo, relaxed, DFT PBE-GGA; ΔH_f (0 K) = -0.048 eV/atom; spin magnetization = 0.004 μB per atom
1.0
-1.297 3.820 1.750
-3.934 1.670 -1.037
-3.220 0.066 2.995
Hf Ti Li Co
1 1 1 1
Cartesian
-6.338 4.167 2.782
-2.113 1.389 0.927
-4.225 2.778 1.854
0.000 0.000 0.000

LiTmHfCo, relaxed, DFT PBE-GGA; ΔH_f (0 K) = -0.057 eV/atom; spin magnetization = 0.000 μB per atom
1.0
-3.207 -0.628 -3.301
-0.352 -4.104 -2.146
-3.663 -2.738 0.811
Co Li Hf Tm
1 1 1 1
Cartesian
0.000 0.000 0.000
-3.611 -3.735 -2.318
-5.416 -5.603 -3.477
-1.805 -1.868 -1.159

LiHfZnCo, relaxed, DFT PBE-GGA; ΔH_f (0 K) = -0.103 eV/atom; spin magnetization = 0.000 μB per atom
1.0
4.317 0.000 0.000
2.159 3.739 0.000
2.159 1.246 3.525
Li Zn Hf Co
1 1 1 1
Cartesian
2.159 1.246 0.881
0.000 0.000 0.000
4.317 2.493 1.762
6.476 3.739 2.644

LuHfCo2, relaxed, DFT PBE-GGA; ΔE to the lowest computed polymorph = 0.0 meV per atom; ΔH_f (0 K) = -0.360 eV/atom; spin magnetization = 0.096 μB per atom
1.0
-0.126 -2.919 -1.275
3.081 -0.436 0.695
-1.647 -2.446 5.763
Lu Co Hf
1 2 1
Cartesian
0.654 -2.901 2.592
-1.272 -1.889 4.452
-0.375 -0.556 1.311
1.477 -1.678 -0.290

Question: The highest spin magnetization belongs to which entry?
Answer: LiHfCo2P